A relaxed structure of Pr3Ho3TmTe8, computed with PBE.

M_tot (μB/cell): 0.01
E_form (uncorrected) (eV/f.u.): -20.86

a = 8.7831 Å, b = 8.7831 Å, c = 21.8477 Å
α = 90.00°, β = 90.00°, γ = 120.00°
Closest atoms and distances in Å follow each position.
Space group R-3m (No. 166, hexagonal axes)
One atom of each set of equivalent atoms:
Pr  0.0000  0.5000  0.0000 x9  6 Te 3.19
Ho  0.0000  0.5000  0.5000 x9  6 Te 3.06
Tm  0.0000  0.0000  0.5000 x3  6 Te 3.12
Te  0.0000  0.0000  0.2449 x6  3 Ho 3.06, 3 Pr 3.19
Te  0.0061  0.5031  0.7536 x18  2 Ho 3.06, 1 Tm 3.12, 2 Pr 3.19